# LaTaSbTe2 meta-GGA SCAN single point on PBEsol structure
data_LaTaSbTe2
_chemical_formula_sum 'La1 Ta1 Sb1 Te2'
_cell_length_a 5.3332
_cell_length_b 5.3332
_cell_length_c 5.3490
_cell_angle_alpha 90.00
_cell_angle_beta 90.00
_cell_angle_gamma 90.00
_space_group_name_H-M_alt 'P 4/m m m'
_space_group_IT_number 123
_space_group_name_Hall '-P 4 2'
loop_
_atom_site_label
_atom_site_type_symbol
_atom_site_fract_x
_atom_site_fract_y
_atom_site_fract_z
_atom_site_occupancy
La1 La 0.0000 0.0000 0.0000 1
Ta1 Ta 0.5000 0.5000 0.5000 1
Sb1 Sb 0.5000 0.5000 0.0000 1
Te1 Te 0.0000 0.5000 0.5000 1
# - Size of the total moment: 0.0003 μB/atom
# - DFT total energy: -44.562 eV/atom

---

# LaTc2Sb meta-GGA SCAN single point on PBEsol structure
data_LaTc2Sb
_chemical_formula_sum 'La2 Tc4 Sb2'
_cell_length_a 3.9241
_cell_length_b 3.9241
_cell_length_c 9.9102
_cell_angle_alpha 90.00
_cell_angle_beta 90.00
_cell_angle_gamma 90.00
_space_group_name_H-M_alt 'I -4 m 2'
_space_group_IT_number 119
_space_group_name_Hall 'I -4 -2'
loop_
_atom_site_label
_atom_site_type_symbol
_atom_site_fract_x
_atom_site_fract_y
_atom_site_fract_z
_atom_site_occupancy
La1 La 0.0000 0.0000 0.0000 1
Tc1 Tc 0.0000 0.0000 0.5000 1
Tc2 Tc 0.0000 0.5000 0.7500 1
Sb1 Sb 0.0000 0.5000 0.2500 1
# - Size of the total moment: 0.4491 μB/atom
# - DFT total energy: -37.294 eV/atom

---

# LaTcSb meta-GGA SCAN single point on PBEsol structure
data_LaTcSb
_chemical_formula_sum 'La4 Tc4 Sb4'
_cell_length_a 6.8174
_cell_length_b 6.8174
_cell_length_c 6.8174
_cell_angle_alpha 90.00
_cell_angle_beta 90.00
_cell_angle_gamma 90.00
_space_group_name_H-M_alt 'F -4 3 m'
_space_group_IT_number 216
_space_group_name_Hall 'F -4 2 3'
loop_
_atom_site_label
_atom_site_type_symbol
_atom_site_fract_x
_atom_site_fract_y
_atom_site_fract_z
_atom_site_occupancy
La1 La 0.0000 0.0000 0.0000 1
Tc1 Tc 0.0000 0.0000 0.5000 1
Sb1 Sb 0.2500 0.2500 0.2500 1
# - Size of the total moment: 0.6393 μB/atom
# - DFT total energy: -38.350 eV/atom

---

# LaTc2Sb meta-GGA SCAN single point on PBEsol structure
data_LaTc2Sb
_chemical_formula_sum 'La3 Tc6 Sb3'
_cell_length_a 3.3292
_cell_length_b 3.3292
_cell_length_c 24.5947
_cell_angle_alpha 90.00
_cell_angle_beta 90.00
_cell_angle_gamma 120.00
_space_group_name_H-M_alt 'R -3 m'
_space_group_IT_number 166
_space_group_name_Hall '-R 3 2"'
loop_
_atom_site_label
_atom_site_type_symbol
_atom_site_fract_x
_atom_site_fract_y
_atom_site_fract_z
_atom_site_occupancy
La1 La 0.0000 0.0000 0.0000 1
Tc1 Tc 0.0000 0.0000 0.2432 1
Sb1 Sb 0.0000 0.0000 0.5000 1
# - Size of the total moment: 0.0000 μB/atom
# - DFT total energy: -37.098 eV/atom